Record 1
Entry from Alexandria: a geometry-optimized PAuSe2 structure (GGA-PBE).

```
PAuSe2
1.0
-5.0592 -1.3889 -4.3155
4.3582 0.2911 -5.2029
0.6406 -3.4085 0.3459
P Au Se
2 2 4
direct
0.0000 0.0000 0.0000
0.5000 0.5000 0.0000
0.0000 0.5000 0.0000
0.5000 0.0000 0.0000
0.1993 0.3007 0.5000
0.8007 0.6993 0.5000
0.3007 0.8007 0.5000
0.6993 0.1993 0.5000
```



Record 2
Entry from Alexandria: a geometry-optimized P2AuSe structure (GGA-PBE).

```
P2AuSe
1.0
-2.1758 -3.9975 -0.7790
2.3813 -3.9558 -0.0360
-0.5313 -3.0458 3.4295
Au P Se
1 2 1
direct
0.5000 0.5000 0.5000
0.0000 0.0000 0.0000
0.2500 0.2500 0.2500
0.7500 0.7500 0.7500
```



Record 3
Entry from Alexandria: a geometry-optimized PAuSe structure (GGA-PBE).

```
PAuSe
1.0
-1.3450 1.3450 8.5994
1.3450 -1.3450 8.5994
1.3450 1.3450 -8.5994
P Au Se
1 1 1
direct
0.3548 0.3548 0.0000
0.9772 0.9772 0.0000
0.6681 0.6681 0.0000
```



Record 4
Entry from Alexandria: a geometry-optimized P2AuSe structure (GGA-PBE).

```
P2AuSe
1.0
8.8408 0.2448 0.0000
7.3093 4.9794 0.0000
-8.0750 -2.6121 2.4881
Au P Se
1 2 1
direct
0.7500 0.2500 0.5000
0.0000 0.0000 0.0000
0.5000 0.5000 0.0000
0.2500 0.7500 0.5000
```



no.,uncorrected formation energy (meV/atom),electronic total energy (eV/atom)
1,544,-3.37
2,714,-3.68
3,508,-3.55
4,582,-3.81